# Li3Sn2P3O12 | Alexandria via LeMat-Bulk | PBEsol | relaxed
data_Li3Sn2P3O12
_chemical_formula_sum 'Li18 Sn12 P18 O72'
_symmetry_space_group_name_H-M 'R -3'
_symmetry_Int_Tables_number 148
_symmetry_space_group_name_Hall '-R 3'
_cell_length_a 8.3869
_cell_length_b 8.3869
_cell_length_c 27.9254
_cell_angle_alpha 90.00
_cell_angle_beta 90.00
_cell_angle_gamma 120.00
loop_
_atom_site_label
_atom_site_type_symbol
_atom_site_fract_x
_atom_site_fract_y
_atom_site_fract_z
Li1 Li 0.0027 0.7032 0.0742
Sn1 Sn 0.0000 0.0000 0.1725
Sn2 Sn 0.0000 0.0000 0.3347
P1 P 0.0210 0.6248 0.9263
O1 O 0.0660 0.2653 0.0900
O2 O 0.0888 0.2349 0.7064
O3 O 0.0913 0.5498 0.8857
O4 O 0.1072 0.5547 0.0450
# * VASP energy: -6.851 eV per atom
# * energy relative to the lowest polymorph listed for this composition: 5.8 meV per atom
# * formation energy without anion corrections: -2.112 eV/atom